(1)
{
  "formula": "BaTeOs2",
  "functional": "PBE",
  "state": "optimized geometry",
  "space_group": "No. 47",
  "total_energy_ev_per_atom": -5.897,
  "raw_formation_energy_kj_per_mol_atoms": 94.91,
  "lattice": [[3.088, 0.000, 0.000], [0.000, 5.162, 0.000], [0.000, 0.000, 5.982]],
  "species": ["Ba", "Te", "Os", "Os"],
  "fractional_positions": [[0.000, 0.000, 0.000], [0.500, 0.000, 0.500], [0.500, 0.500, 0.305], [0.500, 0.500, 0.695]]
}

(2)
{
  "formula": "BaTeOs",
  "functional": "PBE",
  "state": "optimized geometry",
  "space_group": "No. 44",
  "relative_energy_mev_per_atom": 308,
  "total_energy_ev_per_atom": -5.163,
  "raw_formation_energy_kj_per_mol_atoms": 25.90,
  "lattice": [[-1.681, 1.930, 6.148], [1.681, -1.930, 6.148], [1.681, 1.930, -6.148]],
  "species": ["Ba", "Te", "Os"],
  "fractional_positions": [[0.000, 0.000, 0.000], [0.724, 0.724, 0.000], [0.305, 0.305, 0.000]]
}

(3)
{
  "formula": "BaTeOs2",
  "functional": "PBE",
  "state": "optimized geometry",
  "space_group": "No. 6",
  "total_energy_ev_per_atom": -6.548,
  "raw_formation_energy_kj_per_mol_atoms": 32.13,
  "lattice": [[4.252, 0.000, 0.000], [0.000, 3.909, 0.000], [-1.868, 0.000, 6.629]],
  "species": ["Ba", "Te", "Os", "Os"],
  "fractional_positions": [[0.000, 0.000, 0.000], [0.636, 0.500, 0.334], [0.167, 0.500, 0.628], [0.444, 0.000, 0.571]]
}

(4)
{
  "formula": "BaTeOs",
  "functional": "PBE",
  "state": "optimized geometry",
  "space_group": "No. 187",
  "relative_energy_mev_per_atom": 0,
  "total_energy_ev_per_atom": -5.471,
  "raw_formation_energy_kj_per_mol_atoms": -3.78,
  "lattice": [[4.502, 0.000, 0.000], [-2.251, 3.899, 0.000], [0.000, 0.000, 5.054]],
  "species": ["Ba", "Te", "Os"],
  "fractional_positions": [[0.000, 0.000, 0.000], [0.667, 0.333, 0.500], [0.333, 0.667, 0.500]]
}

(5)
{
  "formula": "BaTeOs2",
  "functional": "PBE",
  "state": "optimized geometry",
  "space_group": "No. 166",
  "total_energy_ev_per_atom": -5.644,
  "raw_formation_energy_kj_per_mol_atoms": 119.39,
  "lattice": [[1.669, 0.964, 9.122], [-1.669, 0.964, 9.122], [0.000, -1.927, 9.122]],
  "species": ["Ba", "Te", "Os", "Os"],
  "fractional_positions": [[0.000, 0.000, 0.000], [0.500, 0.500, 0.500], [0.234, 0.234, 0.234], [0.766, 0.766, 0.766]]
}

(6)
{
  "formula": "BaTeOs",
  "functional": "PBE",
  "state": "optimized geometry",
  "space_group": "No. 216",
  "relative_energy_mev_per_atom": 1356,
  "total_energy_ev_per_atom": -4.115,
  "raw_formation_energy_kj_per_mol_atoms": 127.03,
  "lattice": [[0.000, 3.901, 3.901], [3.901, 0.000, 3.901], [3.901, 3.901, 0.000]],
  "species": ["Ba", "Te", "Os"],
  "fractional_positions": [[0.000, 0.000, 0.000], [0.250, 0.250, 0.250], [0.750, 0.750, 0.750]]
}

(7)
{
  "formula": "BaTeOs2",
  "functional": "PBE",
  "state": "optimized geometry",
  "space_group": "No. 123",
  "total_energy_ev_per_atom": -5.591,
  "raw_formation_energy_kj_per_mol_atoms": 124.48,
  "lattice": [[4.558, 0.000, 0.000], [0.000, 4.558, 0.000], [0.000, 0.000, 4.133]],
  "species": ["Ba", "Te", "Os", "Os"],
  "fractional_positions": [[0.000, 0.000, 0.000], [0.500, 0.500, 0.000], [0.000, 0.500, 0.500], [0.500, 0.000, 0.500]]
}

(8)
{
  "formula": "BaTeOs2",
  "functional": "PBE",
  "state": "optimized geometry",
  "space_group": "No. 44",
  "total_energy_ev_per_atom": -6.297,
  "raw_formation_energy_kj_per_mol_atoms": 56.38,
  "lattice": [[-1.934, 3.001, 4.845], [1.934, -3.001, 4.845], [1.934, 3.001, -4.845]],
  "species": ["Ba", "Te", "Os", "Os"],
  "fractional_positions": [[0.000, 0.000, 0.000], [0.696, 0.196, 0.500], [0.351, 0.851, 0.500], [0.490, 0.490, 0.000]]
}

(9)
{
  "formula": "BaTeOs2",
  "functional": "PBE",
  "state": "optimized geometry",
  "space_group": "No. 123",
  "total_energy_ev_per_atom": -5.884,
  "raw_formation_energy_kj_per_mol_atoms": 96.15,
  "lattice": [[3.262, 0.000, 0.000], [0.000, 3.262, 0.000], [0.000, 0.000, 8.134]],
  "species": ["Ba", "Te", "Os", "Os"],
  "fractional_positions": [[0.000, 0.000, 0.000], [0.000, 0.000, 0.500], [0.500, 0.500, 0.315], [0.500, 0.500, 0.685]]
}

(10)
{
  "formula": "BaTeOs2",
  "functional": "PBE",
  "state": "optimized geometry",
  "space_group": "No. 122",
  "total_energy_ev_per_atom": -5.737,
  "raw_formation_energy_kj_per_mol_atoms": 110.38,
  "lattice": [[-3.929, 3.929, 3.285], [3.929, -3.929, 3.285], [3.929, 3.929, -3.285]],
  "species": ["Ba", "Ba", "Te", "Te", "Os", "Os", "Os", "Os"],
  "fractional_positions": [[0.000, 0.000, 0.000], [0.750, 0.250, 0.500], [0.250, 0.750, 0.500], [0.500, 0.500, 0.000], [0.202, 0.625, 0.077], [0.375, 0.452, 0.577], [0.548, 0.125, 0.923], [0.875, 0.798, 0.423]]
}

(11)
{
  "formula": "BaTeOs3",
  "functional": "PBE",
  "state": "optimized geometry",
  "space_group": "No. 221",
  "relative_energy_mev_per_atom": 1889,
  "total_energy_ev_per_atom": -4.154,
  "raw_formation_energy_kj_per_mol_atoms": 346.99,
  "lattice": [[5.111, 0.000, 0.000], [0.000, 5.111, 0.000], [0.000, 0.000, 5.111]],
  "species": ["Ba", "Te", "Os", "Os", "Os"],
  "fractional_positions": [[0.000, 0.000, 0.000], [0.500, 0.500, 0.500], [0.000, 0.000, 0.500], [0.000, 0.500, 0.000], [0.500, 0.000, 0.000]]
}

(12)
{
  "formula": "BaTeOs2",
  "functional": "PBE",
  "state": "optimized geometry",
  "space_group": "No. 12",
  "total_energy_ev_per_atom": -5.608,
  "raw_formation_energy_kj_per_mol_atoms": 122.79,
  "lattice": [[3.124, -5.263, 0.000], [3.124, 5.263, 0.000], [-1.434, 0.000, 2.634]],
  "species": ["Ba", "Te", "Os", "Os"],
  "fractional_positions": [[0.000, 0.000, 0.000], [0.500, 0.500, 0.000], [0.000, 0.500, 0.000], [0.500, 0.000, 0.000]]
}